1.
CePr3Tl4S8 PBE relaxed; VASP energy = -5.35 eV/atom; total magnetization = 1.014 μB per formula unit; symmetry = R-3m; uncorrected formation energy = -1.432 eV/atom; D(E_F) = 0.36 states/eV/atom
1.0
4.2169 2.4346 7.4877
-4.2169 2.4346 7.4877
0.0000 -4.8692 7.4877
Ce Pr Tl S
1 3 4 8
Cartesian
0.0000 0.0000 0.0000
-2.1084 -1.2173 7.4877
-2.1084 1.2173 14.9754
0.0000 2.4346 7.4877
-4.2169 0.0000 11.2316
-2.1084 1.2173 3.7438
2.1084 1.2173 3.7439
0.0000 0.0000 11.2316
0.0000 -2.4496 9.0171
-2.1214 1.2248 9.0171
-2.1214 -1.2248 13.4460
0.0000 0.0000 5.9471
0.0000 0.0000 16.5160
2.1214 1.2248 9.0171
2.1214 -1.2248 13.4460
0.0000 2.4496 13.4460

2.
Tl2IrOsO PBE relaxed; VASP energy = -5.24 eV/atom; total magnetization = 0.000 μB per formula unit; symmetry = P4/mmm; uncorrected formation energy = 0.719 eV/atom; D(E_F) = 0.66 states/eV/atom
1.0
4.9712 0.0000 0.0000
0.0000 4.9712 0.0000
0.0000 0.0000 3.7486
Tl Ir Os O
2 1 1 1
Cartesian
0.0000 2.4856 0.0000
2.4856 0.0000 0.0000
0.0000 0.0000 1.8743
2.4856 2.4856 1.8743
2.4856 2.4856 0.0000

3.
LaCoGe3Ru PBE relaxed; VASP energy = -6.20 eV/atom; total magnetization = 0.000 μB per formula unit; symmetry = Cmcm; formation energy from the elements = -0.34 eV per atom; D(E_F) = 0.54 states/eV/atom
1.0
3.3061 -5.8493 0.0000
3.3061 5.8493 0.0000
0.0000 0.0000 6.2066
La Co Ge Ru
2 2 6 2
Cartesian
3.3061 3.0609 4.6549
3.3061 -3.0609 1.5516
3.3061 0.9738 1.5516
3.3061 -0.9738 4.6549
3.3061 3.1278 1.5516
1.8855 0.0000 0.0000
1.8855 0.0000 3.1033
4.7267 0.0000 0.0000
4.7267 0.0000 3.1033
3.3061 -3.1278 4.6549
3.3061 5.4470 1.5516
3.3061 -5.4470 4.6549

4.
KLaP2 PBE relaxed; VASP energy = -4.71 eV/atom; total magnetization = 0.000 μB per formula unit; symmetry = P4mm; ΔE to the lowest computed polymorph = 35.9 kJ per mole of atoms; formation energy from the elements = -0.49 eV per atom; D(E_F) = 0.56 states/eV/atom
1.0
4.8859 0.0000 0.0000
0.0000 4.8859 0.0000
0.0000 0.0000 4.0689
K La P
1 1 2
Cartesian
0.0000 0.0000 0.0000
2.4430 2.4430 4.0634
0.0000 2.4430 2.0328
2.4430 0.0000 2.0328